(1)
Here is crystalline CaTlCo2 at its relaxed geometry from Alexandria. Energies are from GGA-PBE.

It has space group P4/mmm (No. 123), with a = 3.4747 Å, b = 3.4747 Å, c = 6.3517 Å, α = 90.00°, β = 90.00° and γ = 90.00°. The asymmetric unit holds Ca at (0.0000, 0.0000, 0.0000), Tl at (0.0000, 0.0000, 0.5000) and Co at (0.5000, 0.5000, 0.3088).

The value obtained for the raw total energy is -4.206 eV/atom. The calculated volume is 76.69 Å³/f.u.



(2)
Here is crystalline CaBi4Pt4 at its relaxed geometry from Alexandria. Energies are from GGA-PBE.

It has space group P4_2/n (No. 86, origin choice 2), with a = 9.2677 Å, b = 9.2677 Å, c = 5.5811 Å, α = 90.00°, β = 90.00° and γ = 90.00°. The asymmetric unit holds Ca at (0.2500, 0.2500, 0.2500), Bi at (0.0982, 0.6318, 0.1504) and Pt at (0.0381, 0.6162, 0.6490).

The value obtained for the raw total energy is -4.982 eV/atom. The calculated volume is 239.68 Å³/f.u.



Q: Which of these has the highest raw total energy?
A: CaTlCo2